First-principles (GGA+U) data for a relaxed structure of AlCo3Se2ClO8, as listed in the Alexandria database.

M_tot ... 11.95 μB per cell
Energy ... -5.64 eV/atom

abc: 6.2459 7.9788 9.7505
angles: 92.65 103.53 91.18
With the nearest neighbours (Å) after each atom.
Space group P-1 (No. 2)
Symmetry-distinct sites (fractional):
Al 0.2491 0.1277 0.2502  4 O 1.78-1.81
Co 0.0000 0.0000 0.0000  4 O 1.89-1.95
Co 0.0000 0.0000 0.5000  4 O 2.03-2.10
Co 0.2906 0.7685 0.2574  3 O 1.98-2.04
Co 0.5000 0.0000 0.0000  4 O 1.91-1.95
Co 0.5000 0.0000 0.5000  4 O 2.05-2.15
Se 0.2021 0.6459 0.9182  3 O 1.70-1.83
Se 0.2888 0.6327 0.5743  3 O 1.70-1.83
Cl 0.3209 0.1601 0.6811  3 Co 2.41-2.61
O 0.0212 0.2052 0.1196  1 Al 1.81, 1 Se 1.83, 1 Co 1.95
O 0.0852 0.7668 0.5857  1 Se 1.70
O 0.1974 0.9697 0.3629  1 Al 1.78
O 0.2010 0.6129 0.0889  1 Se 1.70
O 0.2741 0.5970 0.3990  1 Se 1.70
O 0.2886 0.9816 0.1128  1 Al 1.80, 2 Co 1.89-1.91
O 0.4266 0.7725 0.9189  1 Se 1.71
O 0.4716 0.2217 0.3814  1 Al 1.78, 1 Se 1.83